## KAlCr2O10 (PBE with a Hubbard U)

Data for a relaxed structure of KAlCr2O10.

```
KAlCr2O10
1.0
5.0156 -2.7010 0.0000
5.0156 2.7010 0.0000
-1.0579 0.0000 7.8783
K Al Cr O
1 1 2 10
Direct
0.0000 0.0000 0.0000 K
0.0000 0.0000 0.5000 Al
0.3700 0.3700 0.2486 Cr
0.6300 0.6300 0.7514 Cr
0.1822 0.1822 0.4547 O
0.1911 0.7051 0.3285 O
0.1990 0.1990 0.2842 O
0.2949 0.8088 0.6715 O
0.3582 0.3582 0.0438 O
0.6418 0.6418 0.9562 O
0.7051 0.1911 0.3285 O
0.8010 0.8010 0.7158 O
0.8088 0.2949 0.6715 O
0.8178 0.8178 0.5453 O
```

Calculated values
- size of the total moment (μB per cell) = 0.02
- space-group type = No. 12
- raw total energy (eV/atom) = -6.245
- calculated density (kg/m³) = 2568